Record 1
Computed, not measured: crystalline YPa2RhN5 at its relaxed geometry at the PBE level of DFT.

Results
* calculated density: 10.20 g cm⁻³
* space group: No. 36

abc: 3.385 6.935 10.351
angles: 90.00 90.00 104.13
Sites, in units of the cell vectors:
N1 0.956 0.912 0.585
N2 0.520 0.040 0.272
N3 0.280 0.561 0.677
N4 0.369 0.737 0.001
N5 0.668 0.337 0.848
N6 0.720 0.439 0.177
N7 0.631 0.263 0.501
N8 0.480 0.960 0.772
N9 0.044 0.088 0.085
N10 0.332 0.663 0.348
Y1 0.801 0.602 0.502
Y2 0.199 0.398 0.002
Rh1 0.522 0.043 0.957
Rh2 0.478 0.957 0.457
Pa1 0.860 0.720 0.798
Pa2 0.893 0.786 0.185
Pa3 0.140 0.280 0.298
Pa4 0.107 0.214 0.685

Record 2
Computed, not measured: crystalline YPaRhN3 at its relaxed geometry at the PBE level of DFT.

Results
* calculated density: 8.63 g cm⁻³
* space group: No. 11

abc: 3.414 6.620 8.136
angles: 76.61 90.00 90.00
Sites, in units of the cell vectors:
Y1 0.250 0.074 0.176
Y2 0.750 0.926 0.824
N1 0.750 0.250 0.584
N2 0.750 0.363 0.121
N3 0.750 0.818 0.118
N4 0.250 0.637 0.879
N5 0.250 0.750 0.416
N6 0.250 0.182 0.882
Pa1 0.750 0.419 0.824
Pa2 0.250 0.581 0.176
Rh1 0.750 0.828 0.487
Rh2 0.250 0.172 0.513

| no. | uncorrected energy (eV per atom) | total moment (μB/cell) |
| --- | --- | --- |
| 1 | -9.365 | 0.000 |
| 2 | -9.044 | 0.000 |